Record 1
Here is a relaxed structure of PtBrCl2 from the Alexandria database. Energies are from PBE-GGA.

POSCAR file:
```
PtBrCl2
1.0
3.616 0.000 0.000
0.000 2.564 6.111
0.000 -2.564 6.111
Pt Br Cl
1 1 2
direct
0.000 0.000 0.000
0.500 0.138 0.138
0.000 0.499 0.499
0.500 0.873 0.873
```

Energy relative to the elements, uncorrected = -0.281 eV per atom
Polymorph energy (0 for the lowest one) = 0.000 eV per atom
Calculated volume = 28.331 Å³ per atom
DOS(E_F) = 0.99 states/eV/cell
M_tot = 0.00 μB per formula unit



Record 2
Here is a relaxed structure of Li2ReW from the Alexandria database. Energies are from PBE-GGA.

POSCAR file:
```
Li2ReW
1.0
0.000 2.948 2.948
2.948 0.000 2.948
2.948 2.948 0.000
Li Re W
2 1 1
direct
0.250 0.250 0.250
0.750 0.750 0.750
0.000 0.000 0.000
0.500 0.500 0.500
```

Polymorph energy (0 for the lowest one) = 0.721 eV per atom
Calculated volume = 12.815 Å³ per atom
DOS(E_F) = 2.06 states/eV/cell
M_tot = 0.00 μB per formula unit
Formation energy from the elements = 91.96 kJ/mol of atoms



Record 3
Here is a relaxed structure of Rb3Nd2PuO6 from the Alexandria database. Energies are from PBE-GGA.

POSCAR file:
```
Rb3Nd2PuO6
1.0
3.163 -5.478 0.000
3.163 5.478 0.000
-2.109 0.000 6.599
Rb Nd Pu O
3 2 1 6
direct
0.000 0.000 0.000
0.334 0.666 0.000
0.666 0.334 0.000
0.167 0.833 0.500
0.833 0.167 0.500
0.500 0.500 0.500
0.112 0.440 0.320
0.232 0.232 0.680
0.440 0.112 0.320
0.560 0.888 0.680
0.768 0.768 0.320
0.888 0.560 0.680
```

Energy relative to the elements, uncorrected = -2.460 eV per atom
Calculated volume = 19.054 Å³ per atom
DOS(E_F) = 7.12 states/eV/cell
M_tot = 5.00 μB per formula unit



Record 4
Here is a relaxed structure of Hf11Zn9Ir4 from the Alexandria database. Energies are from PBE-GGA.

POSCAR file:
```
Hf11Zn9Ir4
1.0
6.638 -10.020 0.000
6.638 10.020 0.000
0.000 0.000 3.310
Hf Zn Ir
11 9 4
direct
0.000 0.000 0.000
0.064 0.409 0.000
0.162 0.838 0.000
0.294 0.294 0.000
0.364 0.636 0.000
0.409 0.064 0.000
0.591 0.936 0.000
0.636 0.364 0.000
0.706 0.706 0.000
0.838 0.162 0.000
0.936 0.591 0.000
0.065 0.209 0.500
0.156 0.635 0.500
0.209 0.065 0.500
0.365 0.844 0.500
0.500 0.500 0.500
0.635 0.156 0.500
0.791 0.935 0.500
0.844 0.365 0.500
0.935 0.791 0.500
0.244 0.447 0.500
0.447 0.244 0.500
0.553 0.756 0.500
0.756 0.553 0.500
```

Calculated volume = 18.351 Å³ per atom
DOS(E_F) = 13.75 states/eV/cell
M_tot = 0.00 μB per formula unit
Formation energy from the elements = -43.77 kJ/mol of atoms



Record 5
Here is a relaxed structure of IBr4Cl from the Alexandria database. Energies are from PBE-GGA.

POSCAR file:
```
IBr4Cl
1.0
4.156 -10.592 0.000
4.156 10.592 0.000
-4.109 0.000 6.253
I Br Cl
2 8 2
direct
0.066 0.934 0.750
0.934 0.066 0.250
0.114 0.402 0.248
0.161 0.284 0.677
0.284 0.161 0.177
0.402 0.114 0.748
0.598 0.886 0.252
0.716 0.839 0.823
0.839 0.716 0.323
0.886 0.598 0.752
0.287 0.713 0.250
0.713 0.287 0.750
```

Energy relative to the elements, uncorrected = 0.023 eV per atom
Calculated volume = 45.876 Å³ per atom
M_tot = 0.00 μB per formula unit



Record 6
Here is a relaxed structure of PaPbCl6 from the Alexandria database. Energies are from PBE-GGA.

POSCAR file:
```
PaPbCl6
1.0
6.889 0.000 0.000
-3.445 5.966 0.000
0.000 0.000 12.919
Pa Pb Cl
2 2 12
direct
0.000 0.000 0.000
0.000 0.000 0.500
0.333 0.667 0.250
0.667 0.333 0.750
0.005 0.318 0.619
0.005 0.687 0.881
0.313 0.318 0.881
0.313 0.995 0.619
0.318 0.005 0.119
0.318 0.313 0.381
0.682 0.687 0.619
0.682 0.995 0.881
0.687 0.005 0.381
0.687 0.682 0.119
0.995 0.313 0.119
0.995 0.682 0.381
```

Energy relative to the elements, uncorrected = -1.609 eV per atom
Calculated volume = 33.186 Å³ per atom
DOS(E_F) = 2.16 states/eV/cell
M_tot = 1.01 μB per formula unit



> Look up the M_tot of the third one.

5.00 μB per formula unit